1.
Here is an optimized crystal structure of ZrBeCr2 from Alexandria. Energies are from GGA-PBE.

abc: 2.613 2.613 7.974
angles: 90.00 90.00 100.71
Element x y z (fractional)
Cr (0.000, 0.000, 0.950)
Cr (0.000, 0.000, 0.550)
Zr (0.500, 0.500, 0.250)
Be (0.500, 0.500, 0.750)

## Properties
VASP energy = -0.54946 Ry/atom
ΔE_f = 9.3 kcal/mol of atoms

2.
Here is an optimized crystal structure of Ho5ZnRh6 from Alexandria. Energies are from GGA-PBE.

abc: 4.698 6.789 8.178
angles: 65.47 73.26 90.00
Element x y z (fractional)
Zn (0.000, 0.000, 0.000)
Rh (0.836, 0.586, 0.329)
Rh (0.836, 0.085, 0.329)
Rh (0.500, 0.741, 0.000)
Rh (0.500, 0.259, 0.000)
Rh (0.164, 0.915, 0.671)
Rh (0.164, 0.414, 0.671)
Ho (0.652, 0.152, 0.696)
Ho (0.328, 0.328, 0.344)
Ho (0.000, 0.500, 0.000)
Ho (0.672, 0.672, 0.656)
Ho (0.348, 0.848, 0.304)

## Properties
VASP energy = -0.47905 Ry/atom
ΔE_f = -19.1 kcal/mol of atoms

3.
Here is an optimized crystal structure of Th2AlCd16 from Alexandria. Energies are from GGA-PBE.

abc: 7.639 7.639 7.639
angles: 83.08 83.08 83.08
Element x y z (fractional)
Th (0.669, 0.669, 0.669)
Th (0.328, 0.328, 0.328)
Al (0.901, 0.901, 0.901)
Cd (0.694, 0.002, 0.305)
Cd (0.002, 0.305, 0.694)
Cd (0.305, 0.694, 0.002)
Cd (0.002, 0.694, 0.305)
Cd (0.694, 0.305, 0.002)
Cd (0.305, 0.002, 0.694)
Cd (0.339, 0.876, 0.339)
Cd (0.876, 0.339, 0.339)
Cd (0.339, 0.339, 0.876)
Cd (0.627, 0.215, 0.627)
Cd (0.215, 0.627, 0.627)
Cd (0.627, 0.627, 0.215)
Cd (0.976, 0.533, 0.976)
Cd (0.533, 0.976, 0.976)
Cd (0.976, 0.976, 0.533)
Cd (0.092, 0.092, 0.092)

## Properties
VASP energy = -0.13252 Ry/atom
ΔE_f = -1.3 kcal/mol of atoms

4.
Here is an optimized crystal structure of HgSb6Pb12 from Alexandria. Energies are from GGA-PBE.

abc: 9.429 9.428 9.428
angles: 109.76 109.75 109.76
Element x y z (fractional)
Hg (0.000, 0.000, 0.000)
Sb (0.125, 0.302, 0.489)
Sb (0.698, 0.511, 0.875)
Sb (0.511, 0.875, 0.698)
Sb (0.875, 0.698, 0.511)
Sb (0.302, 0.489, 0.125)
Sb (0.489, 0.125, 0.302)
Pb (0.387, 0.122, 0.592)
Pb (0.122, 0.592, 0.387)
Pb (0.592, 0.387, 0.122)
Pb (0.613, 0.878, 0.408)
Pb (0.878, 0.408, 0.613)
Pb (0.408, 0.613, 0.878)
Pb (0.263, 0.924, 0.844)
Pb (0.156, 0.737, 0.076)
Pb (0.076, 0.156, 0.737)
Pb (0.737, 0.076, 0.156)
Pb (0.844, 0.263, 0.924)
Pb (0.924, 0.844, 0.263)

## Properties
formation energy from raw total energies = 0.04 eV/atom
distance to the lowest polymorph of the same formula = 0.00 eV/f.u.
VASP energy = -0.26604 Ry/atom

5.
Here is an optimized crystal structure of NaNd3Pa2N6 from Alexandria. Energies are from GGA-PBE.

abc: 3.613 7.237 7.865
angles: 103.86 103.28 90.00
Element x y z (fractional)
Na (0.500, 0.000, 0.000)
Nd (0.500, 0.500, 0.000)
Nd (0.839, 0.160, 0.677)
Nd (0.161, 0.840, 0.323)
Pa (0.836, 0.676, 0.672)
Pa (0.164, 0.324, 0.328)
N (0.327, 0.888, 0.654)
N (0.675, 0.568, 0.350)
N (0.673, 0.112, 0.346)
N (0.019, 0.278, 0.038)
N (0.981, 0.722, 0.962)
N (0.325, 0.432, 0.650)

## Properties
formation energy from raw total energies = -1.33 eV/atom
VASP energy = -0.61601 Ry/atom

6.
Here is an optimized crystal structure of P2IrPt from Alexandria. Energies are from GGA-PBE.

abc: 2.927 2.927 7.863
angles: 90.00 90.00 90.00
Element x y z (fractional)
Ir (0.500, 0.500, 0.771)
P (0.000, 0.000, 0.931)
P (0.500, 0.500, 0.316)
Pt (0.000, 0.000, 0.482)

## Properties
distance to the lowest polymorph of the same formula = 1.33 eV/f.u.
VASP energy = -0.47666 Ry/atom
ΔE_f = -1.3 kcal/mol of atoms

7.
Here is an optimized crystal structure of AcNdZnSn from Alexandria. Energies are from GGA-PBE.

abc: 5.527 5.527 5.527
angles: 60.00 60.00 60.00
Element x y z (fractional)
Zn (0.750, 0.750, 0.750)
Ac (0.000, 0.000, 0.000)
Nd (0.500, 0.500, 0.500)
Sn (0.250, 0.250, 0.250)

## Properties
VASP energy = -0.29360 Ry/atom
ΔE_f = -10.5 kcal/mol of atoms

8.
Here is an optimized crystal structure of Tm3SnS2 from Alexandria. Energies are from GGA-PBE.

abc: 11.426 8.267 8.267
angles: 50.55 46.29 46.29
Element x y z (fractional)
Tm (0.000, 0.753, 0.247)
Tm (0.000, 0.247, 0.753)
Tm (0.500, 0.747, 0.253)
Tm (0.500, 0.000, 0.500)
Tm (0.500, 0.500, 0.000)
Tm (0.500, 0.253, 0.747)
Sn (0.265, 0.250, 0.250)
Sn (0.735, 0.750, 0.750)
S (0.219, 0.945, 0.945)
S (0.392, 0.445, 0.445)
S (0.608, 0.555, 0.555)
S (0.781, 0.055, 0.055)

## Properties
formation energy from raw total energies = -1.17 eV/atom
VASP energy = -0.40040 Ry/atom

9.
Here is an optimized crystal structure of BaTi2RePd from Alexandria. Energies are from GGA-PBE.

abc: 4.781 5.360 4.781
angles: 90.00 90.00 90.00
Element x y z (fractional)
Re (0.000, 0.000, 0.000)
Ba (0.500, 0.500, 0.500)
Pd (0.000, 0.500, 0.000)
Ti (0.000, 0.000, 0.500)
Ti (0.500, 0.000, 0.000)

## Properties
VASP energy = -0.49069 Ry/atom
ΔE_f = 9.1 kcal/mol of atoms

10.
Here is an optimized crystal structure of Ag2TeAs from Alexandria. Energies are from GGA-PBE.

abc: 6.513 6.513 6.513
angles: 147.71 142.13 50.60
Element x y z (fractional)
As (0.508, 0.508, 0.000)
Te (0.701, 0.201, 0.500)
Ag (0.979, 0.979, 0.000)
Ag (0.311, 0.811, 0.500)

## Properties
formation energy from raw total energies = 0.18 eV/atom
distance to the lowest polymorph of the same formula = 0.37 eV/f.u.
VASP energy = -0.23481 Ry/atom

11.
Here is an optimized crystal structure of La2TlCoAg from Alexandria. Energies are from GGA-PBE.

abc: 5.155 5.155 5.091
angles: 90.00 90.00 90.00
Element x y z (fractional)
Tl (0.500, 0.500, 0.500)
Co (0.000, 0.000, 0.000)
Ag (0.000, 0.000, 0.500)
La (0.000, 0.500, 0.000)
La (0.500, 0.000, 0.000)

## Properties
distance to the lowest polymorph of the same formula = 0.17 eV/f.u.
VASP energy = -0.33640 Ry/atom
ΔE_f = -3.3 kcal/mol of atoms

12.
Here is an optimized crystal structure of CoTc2Hg from Alexandria. Energies are from GGA-PBE.

abc: 3.796 2.831 6.378
angles: 64.07 90.00 90.00
Last column: magnetic moment on the atom in μB.
Element x y z (fractional)
Co (0.000, 0.529, 0.471)  1.44
Hg (0.500, 0.764, 0.737)  0.00
Tc (0.000, 0.973, 0.045)  0.27
Tc (0.500, 0.234, 0.247)  0.10

## Properties
VASP energy = -0.48868 Ry/atom
ΔE_f = 8.9 kcal/mol of atoms

> What is the formula in the eighth record?

Tm3SnS2

> Which value of VASP energy does entry 6 give?

-0.47666 Ry/atom